Entry 1:
DFT (PBE) results for crystalline TbTm2Cu4 at its relaxed geometry.

```
14
Lattice="5.065 0.000 0.000 0.000 5.065 0.000 0.000 0.000 11.394" Properties=species:S:1:pos:R:3 pbc="T T T"
Tb 0.000 0.000 0.000
Tb 2.533 2.533 5.697
Tm 0.000 0.000 3.240
Tm 0.000 0.000 8.153
Tm 2.533 2.533 2.457
Tm 2.533 2.533 8.937
Cu 0.000 2.533 1.396
Cu 0.000 2.533 4.301
Cu 0.000 2.533 7.093
Cu 0.000 2.533 9.997
Cu 2.533 0.000 1.396
Cu 2.533 0.000 4.301
Cu 2.533 0.000 7.093
Cu 2.533 0.000 9.997
```

Properties
energy of formation from the pure elements	-18	meV/atom
SG	I4/mmm, No. 139
density of states at the Fermi level	0.8076	states/eV per atom



Entry 2:
DFT (PBE) results for crystalline TbTm2Cu at its relaxed geometry.

```
16
Lattice="4.856 0.000 0.000 0.000 11.480 0.000 0.000 0.000 7.486" Properties=species:S:1:pos:R:3 pbc="T T T"
Tb 0.000 0.522 1.872
Tb 0.000 10.958 5.615
Tb 2.428 5.218 5.615
Tb 2.428 6.262 1.872
Tm 0.000 4.029 0.250
Tm 0.000 4.029 3.493
Tm 0.000 7.451 3.993
Tm 0.000 7.451 7.237
Tm 2.428 1.711 3.993
Tm 2.428 1.711 7.237
Tm 2.428 9.769 0.250
Tm 2.428 9.769 3.493
Cu 0.000 2.324 5.615
Cu 0.000 9.156 1.872
Cu 2.428 3.416 1.872
Cu 2.428 8.064 5.615
```

Properties
energy of formation from the pure elements	-79	meV/atom
polymorph energy (0 for the lowest one)	38	meV per atom
SG	Cmcm, No. 63
density of states at the Fermi level	1.3176	states/eV per atom



Entry 3:
DFT (PBE) results for crystalline TbTm2Cu6 at its relaxed geometry.

```
9
Lattice="7.306 0.000 0.000 -3.653 6.327 0.000 0.000 0.000 3.511" Properties=species:S:1:pos:R:3 pbc="T T T"
Tb 0.000 0.000 0.000
Tm 0.000 4.218 0.000
Tm 3.653 2.109 0.000
Cu -1.222 2.117 1.756
Cu -2.431 4.210 1.756
Cu 2.445 0.000 1.756
Cu 1.222 2.117 1.756
Cu 4.861 0.000 1.756
Cu 2.431 4.210 1.756
```

Properties
energy of formation from the pure elements	-262	meV/atom
SG	P6/mmm, No. 191
density of states at the Fermi level	0.5542	states/eV per atom



Entry 4:
DFT (PBE) results for crystalline Tb3TmCu2 at its relaxed geometry.

```
12
Lattice="4.904 0.000 0.000 0.000 8.707 0.000 0.000 0.000 6.847" Properties=species:S:1:pos:R:3 pbc="T T T"
Tb 0.000 0.655 0.000
Tb 0.000 2.940 2.503
Tb 0.000 5.767 5.927
Tb 0.000 8.053 3.423
Tb 2.452 1.446 4.497
Tb 2.452 7.261 1.073
Tm 2.452 3.706 0.171
Tm 2.452 5.001 3.595
Cu 0.000 3.030 5.297
Cu 0.000 5.677 1.873
Cu 2.452 1.339 1.708
Cu 2.452 7.369 5.131
```

Properties
energy of formation from the pure elements	-162	meV/atom
polymorph energy (0 for the lowest one)	0	meV per atom
SG	Pmc2_1, No. 26
density of states at the Fermi level	1.0175	states/eV per atom



Entry 5:
DFT (PBE) results for crystalline Tb2TmCu at its relaxed geometry.

```
16
Lattice="6.830 0.000 0.000 0.000 9.650 0.000 0.000 0.000 6.465" Properties=species:S:1:pos:R:3 pbc="T T T"
Tb 1.328 0.574 1.210
Tb 1.328 4.251 1.210
Tb 2.087 5.399 4.442
Tb 2.087 9.076 4.442
Tb 4.743 0.574 2.023
Tb 4.743 4.251 2.023
Tb 5.503 5.399 5.255
Tb 5.503 9.076 5.255
Tm 0.153 2.413 4.084
Tm 3.262 7.238 0.852
Tm 3.569 2.413 5.613
Tm 6.677 7.238 2.381
Cu 0.640 7.238 6.170
Cu 2.775 2.413 2.938
Cu 4.056 7.238 3.527
Cu 6.190 2.413 0.294
```

Properties
energy of formation from the pure elements	-107	meV/atom
polymorph energy (0 for the lowest one)	0	meV per atom
SG	Pnma, No. 62
density of states at the Fermi level	1.0063	states/eV per atom



Entry 6:
DFT (PBE) results for crystalline TbTmCu10 at its relaxed geometry.

```
12
Lattice="4.099 0.000 0.000 0.000 5.037 0.000 0.000 0.000 8.648" Properties=species:S:1:pos:R:3 pbc="T T T"
Tb 0.000 0.000 0.000
Tm 0.000 2.518 4.324
Cu 0.000 0.000 2.898
Cu 0.000 0.000 5.750
Cu 0.000 2.518 1.457
Cu 0.000 2.518 7.192
Cu 2.049 0.000 4.324
Cu 2.049 1.264 2.174
Cu 2.049 1.264 6.474
Cu 2.049 2.518 0.000
Cu 2.049 3.773 2.174
Cu 2.049 3.773 6.474
```

Properties
energy of formation from the pure elements	-193	meV/atom
SG	Pmmm, No. 47
density of states at the Fermi level	0.6295	states/eV per atom



Entry 7:
DFT (PBE) results for crystalline TbTmCu2 at its relaxed geometry.

```
4
Lattice="3.447 0.000 0.000 0.000 3.447 0.000 0.000 0.000 6.904" Properties=species:S:1:pos:R:3 pbc="T T T"
Tb 0.000 0.000 0.000
Tm 0.000 0.000 3.452
Cu 1.724 1.724 1.801
Cu 1.724 1.724 5.103
```

Properties
energy of formation from the pure elements	-265	meV/atom
polymorph energy (0 for the lowest one)	0	meV per atom
SG	P4/mmm, No. 123
density of states at the Fermi level	0.6474	states/eV per atom



Entry 8:
DFT (PBE) results for crystalline Tb2TmCu at its relaxed geometry.

```
16
Lattice="4.894 0.000 0.000 0.000 11.473 0.000 0.000 0.000 7.566" Properties=species:S:1:pos:R:3 pbc="T T T"
Tb 0.000 1.684 0.239
Tb 0.000 1.684 3.544
Tb 0.000 9.789 4.022
Tb 0.000 9.789 7.327
Tb 2.447 4.053 4.022
Tb 2.447 4.053 7.327
Tb 2.447 7.420 0.239
Tb 2.447 7.420 3.544
Tm 0.000 5.234 1.891
Tm 0.000 6.239 5.674
Tm 2.447 0.502 5.674
Tm 2.447 10.971 1.891
Cu 0.000 3.437 5.674
Cu 0.000 8.036 1.891
Cu 2.447 2.299 1.891
Cu 2.447 9.174 5.674
```

Properties
energy of formation from the pure elements	-56	meV/atom
polymorph energy (0 for the lowest one)	51	meV per atom
SG	Cmcm, No. 63
density of states at the Fermi level	1.1477	states/eV per atom



Entry 9:
DFT (PBE) results for crystalline Tb2TmCu at its relaxed geometry.

```
4
Lattice="3.500 0.000 0.000 0.000 3.500 0.000 0.000 0.000 8.586" Properties=species:S:1:pos:R:3 pbc="T T T"
Tb 0.000 0.000 1.728
Tb 0.000 0.000 6.858
Tm 1.750 1.750 4.293
Cu 1.750 1.750 0.000
```

Properties
energy of formation from the pure elements	-86	meV/atom
polymorph energy (0 for the lowest one)	21	meV per atom
SG	P4/mmm, No. 123
density of states at the Fermi level	1.3358	states/eV per atom



Entry 10:
DFT (PBE) results for crystalline Tb3Tm12Cu5 at its relaxed geometry.

```
80
Lattice="-8.567 8.567 8.567 8.567 -8.567 8.567 8.567 8.567 -8.567" Properties=species:S:1:pos:R:3 pbc="T T T"
Tb 4.283 2.142 0.000
Tb 8.567 4.283 -2.142
Tb 2.142 0.000 4.283
Tb 10.708 0.000 4.283
Tb 0.000 4.283 2.142
Tb 4.283 -2.142 8.567
Tb 4.283 10.708 0.000
Tb 8.567 4.283 6.425
Tb -2.142 8.567 4.283
Tb 6.425 8.567 4.283
Tb 0.000 4.283 10.708
Tb 4.283 6.425 8.567
Tm 2.428 -0.568 1.049
Tm 10.422 5.332 -4.851
Tm 7.999 -1.049 2.428
Tm 13.418 -1.856 3.235
Tm 10.994 0.568 1.049
Tm 10.422 -3.235 4.851
Tm 1.049 2.428 -0.568
Tm 11.801 3.716 -1.856
Tm 5.332 4.851 -1.856
Tm 7.518 2.428 0.568
Tm -0.568 1.049 2.428
Tm 4.851 -1.856 5.332
Tm 7.999 7.518 -2.428
Tm 4.851 1.856 3.235
Tm 7.518 -2.428 7.999
Tm 5.332 -4.851 10.422
Tm 3.235 4.851 1.856
Tm 9.615 6.139 0.568
Tm 2.428 7.999 -1.049
Tm 10.422 3.235 3.716
Tm 4.851 10.422 -3.235
Tm 7.999 1.049 6.139
Tm 1.856 3.235 4.851
Tm 2.428 0.568 7.518
Tm 6.139 7.999 1.049
Tm 6.711 5.332 3.716
Tm 0.568 7.518 2.428
Tm 3.716 -1.856 11.801
Tm -1.856 5.332 4.851
Tm 6.139 0.568 9.615
Tm -1.049 2.428 7.999
Tm 5.332 3.716 6.711
Tm 3.235 13.418 -1.856
Tm 1.049 10.994 0.568
Tm 3.716 6.711 5.332
Tm 0.568 1.049 10.994
Tm 3.716 10.422 3.235
Tm 9.134 7.518 6.139
Tm 1.049 6.139 7.999
Tm 3.235 3.716 10.422
Tm -3.235 4.851 10.422
Tm 7.518 6.139 9.134
Tm -1.856 11.801 3.716
Tm -2.428 7.999 7.518
Tm -4.851 10.422 5.332
Tm 0.568 9.615 6.139
Tm -1.856 3.235 13.418
Tm 6.139 9.134 7.518
Cu 0.000 0.000 0.000
Cu 4.283 4.283 -4.283
Cu 4.283 -4.283 4.283
Cu 8.567 0.000 0.000
Cu 12.850 2.142 0.000
Cu 8.567 -4.283 6.425
Cu 6.425 8.567 -4.283
Cu 6.425 0.000 4.283
Cu 4.283 6.425 0.000
Cu 8.567 4.283 2.142
Cu -4.283 4.283 4.283
Cu 0.000 8.567 0.000
Cu 0.000 0.000 8.567
Cu 4.283 4.283 4.283
Cu 0.000 4.283 6.425
Cu 4.283 2.142 8.567
Cu 2.142 8.567 4.283
Cu 2.142 0.000 12.850
Cu 0.000 12.850 2.142
Cu -4.283 6.425 8.567
```

Properties
energy of formation from the pure elements	453	meV/atom
SG	Ia-3d, No. 230
density of states at the Fermi level	0.9459	states/eV per atom



Entry 11:
DFT (PBE) results for crystalline Tb2Tm3Cu2 at its relaxed geometry.

```
14
Lattice="12.184 0.000 0.000 0.000 3.665 0.000 -6.065 0.000 8.071" Properties=species:S:1:pos:R:3 pbc="T T T"
Tb -0.984 0.000 3.007
Tb 1.011 1.832 5.064
Tb 5.108 1.832 3.007
Tb 7.103 0.000 5.064
Tm 0.000 1.832 0.000
Tm -2.271 1.832 5.771
Tm 2.298 0.000 2.300
Tm 6.092 0.000 0.000
Tm 3.821 0.000 5.771
Tm 8.390 1.832 2.300
Cu -3.673 0.000 7.527
Cu 3.700 1.832 0.544
Cu 2.419 1.832 7.527
Cu 9.792 0.000 0.544
```

Properties
energy of formation from the pure elements	-54	meV/atom
polymorph energy (0 for the lowest one)	78	meV per atom
SG	C2/m, No. 12
density of states at the Fermi level	1.3363	states/eV per atom



Entry 12:
DFT (PBE) results for crystalline Tb3Tm3Cu4 at its relaxed geometry.

```
10
Lattice="3.696 0.000 0.000 0.000 5.612 5.529 0.000 -5.612 5.529" Properties=species:S:1:pos:R:3 pbc="T T T"
Tb 0.000 0.000 0.000
Tb 0.000 -1.856 3.780
Tb 0.000 1.856 3.780
Tm 0.000 0.000 7.402
Tm 1.848 -2.820 6.540
Tm 1.848 2.820 6.540
Cu 1.848 0.000 2.391
Cu 1.848 0.000 5.126
Cu 1.848 -1.364 9.218
Cu 1.848 1.364 9.218
```

Properties
energy of formation from the pure elements	-168	meV/atom
SG	Amm2, No. 38
density of states at the Fermi level	1.2062	states/eV per atom



Entry 13:
DFT (PBE) results for crystalline Tb3Tm5Cu12 at its relaxed geometry.

```
80
Lattice="-7.888 7.888 7.888 7.888 -7.888 7.888 7.888 7.888 -7.888" Properties=species:S:1:pos:R:3 pbc="T T T"
Tb 3.944 1.972 0.000
Tb 7.888 3.944 -1.972
Tb 1.972 0.000 3.944
Tb 9.860 0.000 3.944
Tb 0.000 3.944 1.972
Tb 3.944 -1.972 7.888
Tb 3.944 9.860 0.000
Tb 7.888 3.944 5.916
Tb -1.972 7.888 3.944
Tb 5.916 7.888 3.944
Tb 0.000 3.944 9.860
Tb 3.944 5.916 7.888
Tm 0.000 0.000 0.000
Tm 3.944 3.944 -3.944
Tm 3.944 -3.944 3.944
Tm 7.888 0.000 0.000
Tm 11.832 1.972 0.000
Tm 7.888 -3.944 5.916
Tm 5.916 7.888 -3.944
Tm 5.916 0.000 3.944
Tm 3.944 5.916 0.000
Tm 7.888 3.944 1.972
Tm -3.944 3.944 3.944
Tm 0.000 7.888 0.000
Tm 0.000 0.000 7.888
Tm 3.944 3.944 3.944
Tm 0.000 3.944 5.916
Tm 3.944 1.972 7.888
Tm 1.972 7.888 3.944
Tm 1.972 0.000 11.832
Tm 0.000 11.832 1.972
Tm -3.944 5.916 7.888
Cu 7.970 -1.243 2.402
Cu 11.750 -1.542 2.701
Cu 10.290 -0.082 1.243
Cu 9.430 -2.701 3.862
Cu 2.402 0.082 1.243
Cu 9.430 5.187 -3.862
Cu 5.187 3.862 -1.542
Cu 6.645 2.402 -0.082
Cu 1.243 2.402 0.082
Cu 10.589 4.026 -1.542
Cu 0.082 1.243 2.402
Cu 3.862 -1.542 5.187
Cu 7.970 6.645 -2.402
Cu 3.862 1.542 2.701
Cu 2.701 3.862 1.542
Cu 9.132 5.486 -0.082
Cu 6.645 -2.402 7.970
Cu 5.187 -3.862 9.430
Cu 1.542 2.701 3.862
Cu 2.402 -0.082 6.645
Cu 2.402 7.970 -1.243
Cu 9.430 2.701 4.026
Cu 3.862 9.430 -2.701
Cu 7.970 1.243 5.486
Cu -0.082 6.645 2.402
Cu 4.026 -1.542 10.589
Cu -1.542 5.187 3.862
Cu 5.486 -0.082 9.132
Cu 5.486 7.970 1.243
Cu 6.346 5.187 4.026
Cu 2.701 11.750 -1.542
Cu 1.243 10.290 -0.082
Cu -1.243 2.402 7.970
Cu 5.187 4.026 6.346
Cu 4.026 6.346 5.187
Cu -0.082 1.243 10.290
Cu 4.026 9.430 2.701
Cu 7.806 6.645 5.486
Cu -2.701 3.862 9.430
Cu 6.645 5.486 7.806
Cu 1.243 5.486 7.970
Cu 2.701 4.026 9.430
Cu -1.542 2.701 11.750
Cu 5.486 7.806 6.645
Cu -1.542 10.589 4.026
Cu -2.402 7.970 6.645
Cu -3.862 9.430 5.187
Cu -0.082 9.132 5.486
```

Properties
energy of formation from the pure elements	292	meV/atom
SG	Ia-3d, No. 230
density of states at the Fermi level	0.8803	states/eV per atom



Entry 14:
DFT (PBE) results for crystalline Tb5TmCu4 at its relaxed geometry.

```
10
Lattice="3.488 0.000 0.000 0.000 3.488 0.000 0.000 0.000 18.988" Properties=species:S:1:pos:R:3 pbc="T T T"
Tb 0.000 0.000 0.000
Tb 0.000 0.000 3.498
Tb 0.000 0.000 6.956
Tb 0.000 0.000 12.031
Tb 0.000 0.000 15.489
Tm 1.744 1.744 9.494
Cu 1.744 1.744 1.745
Cu 1.744 1.744 5.225
Cu 1.744 1.744 13.763
Cu 1.744 1.744 17.243
```

Properties
energy of formation from the pure elements	-182	meV/atom
SG	P4/mmm, No. 123
density of states at the Fermi level	0.7549	states/eV per atom



Entry 15:
DFT (PBE) results for crystalline Tb2Tm2Cu3 at its relaxed geometry.

```
7
Lattice="2.415 1.395 7.979 -2.415 1.395 7.979 0.000 -2.789 7.979" Properties=species:S:1:pos:R:3 pbc="T T T"
Tb 0.000 0.000 2.983
Tb 0.000 0.000 20.955
Tm 0.000 0.000 8.962
Tm 0.000 0.000 14.976
Cu 0.000 0.000 0.000
Cu 0.000 0.000 6.029
Cu 0.000 0.000 17.909
```

Properties
energy of formation from the pure elements	-142	meV/atom
SG	R-3m, No. 166
density of states at the Fermi level	0.8088	states/eV per atom



Entry 16:
DFT (PBE) results for crystalline TbTmCu4 at its relaxed geometry.

```
12
Lattice="4.276 0.000 0.000 0.000 6.793 0.000 0.000 0.000 7.314" Properties=species:S:1:pos:R:3 pbc="T T T"
Tb 0.000 0.000 0.000
Tb 2.138 3.397 3.657
Tm 0.000 3.397 0.653
Tm 2.138 0.000 4.310
Cu 0.000 1.337 2.793
Cu 0.000 2.045 5.200
Cu 0.000 4.748 5.200
Cu 0.000 5.456 2.793
Cu 2.138 1.351 1.543
Cu 2.138 2.059 6.450
Cu 2.138 4.734 6.450
Cu 2.138 5.442 1.543
```

Properties
energy of formation from the pure elements	-281	meV/atom
polymorph energy (0 for the lowest one)	0	meV per atom
SG	Imm2, No. 44
density of states at the Fermi level	0.4688	states/eV per atom